Here is a relaxed Na2MoPbF8 crystal from Alexandria via LeMat-Bulk. Energies are from PBE+U.

Cell lengths 4.583, 7.506, 5.509 Å; angles 90.00, 90.86, 90.00 degrees
Atoms (fractional coordinates):
1 Na 0.000 0.244 0.000
2 Na 0.000 0.756 0.000
3 Mo 0.500 0.500 0.500
4 Pb 0.500 0.000 0.500
5 F 0.082 0.000 0.242
6 F 0.164 0.500 0.270
7 F 0.355 0.300 0.713
8 F 0.355 0.700 0.713
9 F 0.645 0.300 0.287
10 F 0.645 0.700 0.287
11 F 0.836 0.500 0.730
12 F 0.918 0.000 0.758

Output
* total magnetic moment: 2.0 μB/cell
* space group: P2/m, No. 10
* electronic total energy: -4.937 eV per atom